(1)
CsTiTlSe3: optimized geometry, GGA-PBE.

Computed properties:
Symmetry ... C2/c
DFT total energy ... -4.604 eV/atom

abc: 8.6086 8.6086 7.0241
angles: 95.21 95.21 126.82
Sites, in units of the cell vectors:
Cs1 0.2472 0.7528 0.7500
Cs2 0.7528 0.2472 0.2500
Ti1 0.4541 0.5459 0.2500
Ti2 0.5459 0.4541 0.7500
Tl1 0.0873 0.9127 0.2500
Tl2 0.9127 0.0873 0.7500
Se1 0.2507 0.3197 0.4973
Se2 0.3005 0.6995 0.2500
Se3 0.3197 0.2507 0.9973
Se4 0.6803 0.7493 0.0027
Se5 0.6995 0.3005 0.7500
Se6 0.7493 0.6803 0.5027


(2)
CsTmTiSe4: optimized geometry, GGA-PBE.

Computed properties:
Symmetry ... P2_1/m
DFT total energy ... -5.312 eV/atom

abc: 6.7820 7.1664 9.9336
angles: 90.00 109.23 90.00
Sites, in units of the cell vectors:
Cs1 0.2444 0.2500 0.4440
Cs2 0.7556 0.7500 0.5560
Tm1 0.2928 0.2500 0.9580
Tm2 0.7072 0.7500 0.0420
Ti1 0.2634 0.7500 0.1560
Ti2 0.7366 0.2500 0.8440
Se1 0.0373 0.7500 0.9212
Se2 0.0567 0.7500 0.3080
Se3 0.4878 0.5044 0.8097
Se4 0.4878 0.9956 0.8097
Se5 0.5122 0.0044 0.1903
Se6 0.5122 0.4956 0.1903
Se7 0.9433 0.2500 0.6920
Se8 0.9627 0.2500 0.0788


(3)
CsUTiSe3: optimized geometry, GGA-PBE.

Computed properties:
Symmetry ... P2_1/m
DFT total energy ... -6.208 eV/atom

abc: 9.8823 4.1229 10.3503
angles: 90.00 113.84 90.00
Sites, in units of the cell vectors:
Cs1 0.2146 0.2500 0.2418
Cs2 0.7854 0.7500 0.7582
U1 0.3310 0.7500 0.8543
U2 0.6690 0.2500 0.1457
Ti1 0.0847 0.2500 0.6054
Ti2 0.9153 0.7500 0.3946
Se1 0.1255 0.2500 0.8613
Se2 0.1971 0.7500 0.5390
Se3 0.4704 0.7500 0.1575
Se4 0.5296 0.2500 0.8425
Se5 0.8029 0.2500 0.4610
Se6 0.8745 0.7500 0.1387


(4)
Cs3U2TiSe6: optimized geometry, GGA-PBE.

Computed properties:
Symmetry ... C2/m
DFT total energy ... -5.673 eV/atom

abc: 7.1871 7.1871 8.7542
angles: 97.88 97.88 120.00
Sites, in units of the cell vectors:
Cs1 0.0000 0.0000 0.0000
Cs2 0.3313 0.6687 0.0000
Cs3 0.6687 0.3313 0.0000
U1 0.1664 0.8336 0.5000
U2 0.8336 0.1664 0.5000
Ti1 0.5000 0.5000 0.5000
Se1 0.1210 0.4390 0.3170
Se2 0.2433 0.2433 0.6841
Se3 0.4390 0.1210 0.3170
Se4 0.5610 0.8790 0.6830
Se5 0.7567 0.7567 0.3159
Se6 0.8790 0.5610 0.6830


(5)
CsTlSe: optimized geometry, GGA-PBE.

Computed properties:
Energy above the most stable polymorph in this dataset ... 4 meV per atom
Symmetry ... C2/m

abc: 6.9130 6.9130 8.4230
angles: 104.97 104.97 42.22
Sites, in units of the cell vectors:
Cs1 0.1110 0.1110 0.3169
Cs2 0.8890 0.8890 0.6831
Tl1 0.3746 0.3746 0.0836
Tl2 0.6254 0.6254 0.9164
Se1 0.2016 0.2016 0.7632
Se2 0.7984 0.7984 0.2368


(6)
CsTlSe2: optimized geometry, GGA-PBE.

Computed properties:
Symmetry ... P3m1
DFT total energy ... -3.006 eV/atom

abc: 4.3339 4.3339 8.9689
angles: 90.00 90.00 120.00
Sites, in units of the cell vectors:
Cs1 0.0000 0.0000 0.0000
Tl1 0.6667 0.3333 0.5531
Se1 0.0000 0.0000 0.3917
Se2 0.3333 0.6667 0.7337